1.
{"formula": "SrAcGaBi", "functional": "PBE-GGA", "state": "optimized geometry", "cell": [[8.120, 0.000, 0.000], [0.000, 8.120, 0.000], [0.000, 0.000, 8.120]], "species": ["Sr", "Sr", "Sr", "Sr", "Ac", "Ac", "Ac", "Ac", "Ga", "Ga", "Ga", "Ga", "Bi", "Bi", "Bi", "Bi"], "fractional_positions": [[0.000, 0.000, 0.000], [0.000, 0.500, 0.500], [0.500, 0.000, 0.500], [0.500, 0.500, 0.000], [0.000, 0.000, 0.500], [0.000, 0.500, 0.000], [0.500, 0.000, 0.000], [0.500, 0.500, 0.500], [0.250, 0.250, 0.750], [0.250, 0.750, 0.250], [0.750, 0.250, 0.250], [0.750, 0.750, 0.750], [0.250, 0.250, 0.250], [0.250, 0.750, 0.750], [0.750, 0.250, 0.750], [0.750, 0.750, 0.250]], "e_tot_ev_per_cell": -58.86, "delta_e_f_ev_per_atom": -0.504}



2.
{"formula": "FeBiSb2Br", "functional": "PBE-GGA", "state": "optimized geometry", "cell": [[4.817, 0.000, 0.000], [0.000, 4.817, 0.000], [0.000, 0.000, 5.810]], "species": ["Fe", "Bi", "Sb", "Sb", "Br"], "fractional_positions": [[0.000, 0.000, 0.000], [0.000, 0.000, 0.500], [0.000, 0.500, 0.000], [0.500, 0.000, 0.000], [0.500, 0.500, 0.500]], "e_tot_ev_per_cell": -21.01, "formation_energy_uncorrected_kj_per_mol_atoms": 24.1}